1.
{
  "formula": "Ac5CuHg4",
  "functional": "PBE-GGA",
  "state": "optimized geometry",
  "n_ef_per_ev_atom": 0.99,
  "vol_a3_per_cell": 321.37,
  "delta_e_f_ev_per_atom": -0.39,
  "lattice_angstrom": [[3.9869, 0.0000, 0.0000], [0.0000, 3.9869, 0.0000], [0.0000, 0.0000, 20.2173]],
  "species": ["Hg", "Hg", "Hg", "Hg", "Ac", "Ac", "Ac", "Ac", "Ac", "Cu"],
  "fractional_positions": [[0.0000, 0.0000, 0.8060], [0.0000, 0.0000, 0.6021], [0.0000, 0.0000, 0.1940], [0.0000, 0.0000, 0.3979], [0.5000, 0.5000, 0.2954], [0.5000, 0.5000, 0.0895], [0.5000, 0.5000, 0.9105], [0.5000, 0.5000, 0.7046], [0.5000, 0.5000, 0.5000], [0.0000, 0.0000, 0.0000]]
}

=====

2.
{
  "formula": "AcCuHg",
  "functional": "PBE-GGA",
  "state": "optimized geometry",
  "n_ef_per_ev_atom": 0.59,
  "vol_a3_per_cell": 79.27,
  "delta_e_f_ev_per_atom": -0.32,
  "lattice_angstrom": [[4.0378, 0.0000, 0.0000], [0.0000, 4.7611, 0.0000], [0.0000, -2.3806, 4.1232]],
  "species": ["Hg", "Cu", "Ac"],
  "fractional_positions": [[0.1663, 0.3333, 0.6667], [0.1672, 0.0000, 0.0000], [0.6665, 0.6667, 0.3333]]
}

=====

3.
{
  "formula": "Ac2Cu5Hg",
  "functional": "PBE-GGA",
  "state": "optimized geometry",
  "n_ef_per_ev_atom": 0.47,
  "vol_a3_per_cell": 182.89,
  "delta_e_f_ev_per_atom": -0.04,
  "lattice_angstrom": [[6.3709, -0.0274, -0.0391], [-3.1605, 5.5317, 0.0391], [-3.1605, -1.8450, 5.2151]],
  "species": ["Cu", "Cu", "Cu", "Cu", "Cu", "Ac", "Ac", "Hg"],
  "fractional_positions": [[0.3933, 0.6847, 0.6847], [0.0000, 0.6847, 0.2914], [0.0000, 0.2914, 0.6847], [0.6067, 0.2914, 0.2914], [0.0000, 0.3006, 0.3006], [0.5000, 0.7352, 0.2352], [0.5000, 0.2352, 0.7352], [0.0000, 0.9988, 0.9988]]
}